Entry from Alexandria: a relaxed LiPr2Ho crystal (PBE-GGA).

Cell and atoms, written as POSCAR:
```
LiPr2Ho
1.0
1.793 1.035 11.504
-1.793 1.035 11.504
0.000 -2.070 11.504
Li Pr Ho
1 2 1
Direct
0.000 0.000 0.000
0.584 0.584 0.584
0.749 0.749 0.749
0.167 0.167 0.167
```

Properties
- Relative energy among the computed polymorphs: 0.007 eV/atom
- D(E_F): 0.822 states/eV/atom
- Total magnetization: 0.000 μB/f.u.
- Energy: -3.943 eV per atom
- Energy of formation from the pure elements: 0.069 eV/atom
- Space group: No. 160